A plane-wave DFT calculation with PBE-GGA was carried out for a geometry-optimized RbI2NF structure.

Output
M_tot = 2.94 μB per cell
Calculated density = 3.9 g/cm3

a = 5.3200 Å, b = 5.3200 Å, c = 5.5745 Å
α = 90.00°, β = 90.00°, γ = 90.00°
Fractional positions:
Rb: 0.5000 0.5000 0.5000
F: 0.0000 0.0000 0.0000
I: 0.5000 0.0000 0.0000
N: 0.0000 0.0000 0.5000
I: 0.0000 0.5000 0.0000

***

A plane-wave DFT calculation with PBE-GGA was carried out for a geometry-optimized Rb2I6NF structure.

Output
M_tot = 0.00 μB per cell
Calculated density = 4.7 g/cm3

a = 8.4510 Å, b = 8.4510 Å, c = 7.6694 Å
α = 56.57°, β = 56.57°, γ = 90.00°
Fractional positions:
F: 0.0000 0.0000 0.0000
I: 0.7196 0.2804 0.0000
I: 0.2804 0.7196 0.0000
N: 0.5000 0.5000 0.0000
I: 0.7196 0.7196 0.0000
I: 0.2414 0.2414 0.5172
Rb: 0.7500 0.2500 0.5000
Rb: 0.2500 0.7500 0.5000
I: 0.2804 0.2804 0.0000
I: 0.7586 0.7586 0.4828

***

A plane-wave DFT calculation with PBE-GGA was carried out for a geometry-optimized Rb2INF6 structure.

Output
M_tot = 1.72 μB per cell
Calculated density = 3.7 g/cm3

a = 6.3961 Å, b = 6.3961 Å, c = 6.5472 Å
α = 60.76°, β = 60.76°, γ = 90.00°
Fractional positions:
F: 0.7823 0.7823 0.4354
Rb: 0.7500 0.2500 0.5000
F: 0.3025 0.6975 0.0000
F: 0.3025 0.3025 0.0000
Rb: 0.2500 0.7500 0.5000
F: 0.2177 0.2177 0.5646
I: 0.0000 0.0000 0.0000
F: 0.6975 0.6975 0.0000
F: 0.6975 0.3025 0.0000
N: 0.5000 0.5000 0.0000

***

A plane-wave DFT calculation with PBE-GGA was carried out for a geometry-optimized RhIN2F structure.

Output
M_tot = 2.66 μB per cell
Calculated density = 6.2 g/cm3

a = 4.1429 Å, b = 4.1429 Å, c = 4.3278 Å
α = 90.00°, β = 90.00°, γ = 90.00°
Fractional positions:
F: 0.0000 0.0000 0.5000
N: 0.5000 0.0000 0.0000
I: 0.0000 0.0000 0.0000
Rh: 0.5000 0.5000 0.5000
N: 0.0000 0.5000 0.0000

***

A plane-wave DFT calculation with PBE-GGA was carried out for a geometry-optimized RhIN2F structure.

Output
M_tot = 3.58 μB per cell
Calculated density = 5.0 g/cm3

a = 3.8847 Å, b = 3.8847 Å, c = 6.1373 Å
α = 90.00°, β = 90.00°, γ = 90.00°
Fractional positions:
N: 0.0000 0.5000 0.0000
F: 0.0000 0.0000 0.0000
N: 0.5000 0.0000 0.0000
I: 0.0000 0.0000 0.5000
Rh: 0.5000 0.5000 0.5000

***

A plane-wave DFT calculation with PBE-GGA was carried out for a geometry-optimized RhIN2F structure.

Output
M_tot = 0.28 μB per cell
Calculated density = 6.8 g/cm3

a = 4.0257 Å, b = 4.0257 Å, c = 4.1616 Å
α = 90.00°, β = 90.00°, γ = 90.00°
Fractional positions:
N: 0.5000 0.0000 0.0000
F: 0.0000 0.0000 0.5000
I: 0.5000 0.5000 0.5000
Rh: 0.0000 0.0000 0.0000
N: 0.0000 0.5000 0.0000

***

| no. | uncorrected formation energy (eV/atom) |
| --- | --- |
| 1 | 0.31 |
| 2 | -0.27 |
| 3 | -1.20 |
| 4 | 1.75 |
| 5 | 2.22 |
| 6 | 0.86 |